{"formula": "TcRh3C", "functional": "PBE", "state": "relaxed", "magnetic_moment_mub_per_fu": 3.93, "formation_enthalpy_0k_ev_per_atom": 0.44, "de_polymorph_mev_per_atom": 0.0, "lattice": [[4.084, 0.000, 0.000], [0.000, 4.084, 0.000], [0.000, 0.000, 4.084]], "species": ["Tc", "Rh", "Rh", "Rh", "C"], "fractional_positions": [[0.000, 0.000, 0.000], [0.000, 0.500, 0.500], [0.500, 0.000, 0.500], [0.500, 0.500, 0.000], [0.500, 0.500, 0.500]]}